MnINO2 | PBE with a Hubbard U | optimized geometry

It has space group P4/mmm (No. 123), with a = 4.061 Å, b = 4.061 Å, c = 4.180 Å, α = 90.00°, β = 90.00° and γ = 90.00°. The distinct sites, in fractional coordinates, are Mn at (0.000, 0.000, 0.000), I at (0.500, 0.500, 0.000), N at (0.500, 0.500, 0.500) and O at (0.000, 0.500, 0.500).

The calculation puts the uncorrected energy at -4.44 eV per atom. Its density of states at the Fermi level is 3.11 states/eV/cell.